(1)
This record from the Alexandria database describes a relaxed Y2AgPd4 crystal. The functional is PBE-GGA.

abc: 4.898 4.898 7.838
angles: 108.21 108.21 90.00
Fractional positions:
1 Y 0.628 0.628 0.257
2 Y 0.372 0.372 0.743
3 Ag 0.000 0.000 0.000
4 Pd 0.813 0.813 0.626
5 Pd 0.187 0.187 0.374
6 Pd 0.000 0.500 0.000
7 Pd 0.500 0.000 0.000

Values from the calculation:
- Formation enthalpy at 0 K: -0.0225 eV per atom
- Distance to the lowest polymorph of the same formula: 397 kJ/mol of formula units
- Uncorrected energy: -36.7 eV for the cell shown
- DOS(E_F): 0.68 states/eV/atom



(2)
This record from the Alexandria database describes a relaxed Y3AgPd crystal. The functional is PBE-GGA.

abc: 5.403 5.403 5.403
angles: 90.00 90.00 90.00
Fractional positions:
1 Y 0.000 0.500 0.000
2 Y 0.000 0.000 0.500
3 Y 0.500 0.000 0.000
4 Pd 0.000 0.000 0.000
5 Ag 0.500 0.500 0.500

Values from the calculation:
- Formation enthalpy at 0 K: -0.0684 eV per atom
- Distance to the lowest polymorph of the same formula: 169 kJ/mol of formula units
- Uncorrected energy: -27.8 eV for the cell shown
- DOS(E_F): 1.74 states/eV/atom



(3)
This record from the Alexandria database describes a relaxed Y3AgPd12 crystal. The functional is PBE-GGA.

abc: 4.105 4.105 16.401
angles: 90.00 90.00 90.00
Fractional positions:
1 Y 0.000 0.000 0.245
2 Y 0.000 0.000 0.500
3 Y 0.000 0.000 0.755
4 Ag 0.000 0.000 0.000
5 Pd 0.500 0.500 0.000
6 Pd 0.500 0.500 0.246
7 Pd 0.500 0.500 0.500
8 Pd 0.500 0.500 0.754
9 Pd 0.500 0.000 0.120
10 Pd 0.500 0.000 0.373
11 Pd 0.500 0.000 0.627
12 Pd 0.500 0.000 0.880
13 Pd 0.000 0.500 0.120
14 Pd 0.000 0.500 0.373
15 Pd 0.000 0.500 0.627
16 Pd 0.000 0.500 0.880

Values from the calculation:
- Formation enthalpy at 0 K: -0.6262 eV per atom
- Uncorrected energy: -94.6 eV for the cell shown
- DOS(E_F): 0.92 states/eV/atom



(4)
This record from the Alexandria database describes a relaxed Y12AgPd6 crystal. The functional is PBE-GGA.

abc: 8.412 8.412 8.412
angles: 102.15 102.15 102.15
Fractional positions:
1 Y 0.828 0.587 0.437
2 Y 0.437 0.828 0.587
3 Y 0.587 0.437 0.828
4 Y 0.172 0.413 0.563
5 Y 0.563 0.172 0.413
6 Y 0.413 0.563 0.172
7 Y 0.075 0.939 0.329
8 Y 0.061 0.671 0.925
9 Y 0.671 0.925 0.061
10 Y 0.925 0.061 0.671
11 Y 0.939 0.329 0.075
12 Y 0.329 0.075 0.939
13 Ag 0.000 0.000 0.000
14 Pd 0.684 0.859 0.379
15 Pd 0.621 0.316 0.141
16 Pd 0.141 0.621 0.316
17 Pd 0.316 0.141 0.621
18 Pd 0.379 0.684 0.859
19 Pd 0.859 0.379 0.684

Values from the calculation:
- Formation enthalpy at 0 K: -0.4255 eV per atom
- Uncorrected energy: -119.7 eV for the cell shown
- DOS(E_F): 1.12 states/eV/atom



(5)
This record from the Alexandria database describes a relaxed YAgPd crystal. The functional is PBE-GGA.

abc: 5.294 5.294 7.568
angles: 90.00 90.00 120.00
Fractional positions:
1 Y 0.028 0.514 0.500
2 Y 0.486 0.972 0.833
3 Y 0.486 0.514 0.167
4 Ag 0.736 0.868 0.500
5 Ag 0.132 0.264 0.833
6 Ag 0.132 0.868 0.167
7 Pd 0.389 0.194 0.500
8 Pd 0.806 0.611 0.833
9 Pd 0.806 0.194 0.167

Values from the calculation:
- Formation enthalpy at 0 K: -0.5107 eV per atom
- Distance to the lowest polymorph of the same formula: 34 kJ/mol of formula units
- Uncorrected energy: -48.1 eV for the cell shown
- DOS(E_F): 0.53 states/eV/atom



(6)
This record from the Alexandria database describes a relaxed YAgPd3 crystal. The functional is PBE-GGA.

abc: 4.889 4.889 4.889
angles: 90.00 90.00 90.00
Fractional positions:
1 Y 0.500 0.500 0.500
2 Pd 0.000 0.500 0.000
3 Pd 0.000 0.000 0.500
4 Pd 0.500 0.000 0.000
5 Ag 0.000 0.000 0.000

Values from the calculation:
- Formation enthalpy at 0 K: 0.3074 eV per atom
- Distance to the lowest polymorph of the same formula: 378 kJ/mol of formula units
- Uncorrected energy: -23.4 eV for the cell shown
- DOS(E_F): 0.45 states/eV/atom



(7)
This record from the Alexandria database describes a relaxed Y4AgPd3 crystal. The functional is PBE-GGA.

abc: 3.751 4.666 10.622
angles: 90.00 90.00 90.00
Fractional positions:
1 Y 0.500 0.500 0.370
2 Y 0.000 0.500 0.854
3 Y 0.000 0.000 0.141
4 Y 0.500 0.000 0.637
5 Ag 0.500 0.500 0.082
6 Pd 0.000 0.500 0.585
7 Pd 0.000 0.000 0.415
8 Pd 0.500 0.000 0.916

Values from the calculation:
- Formation enthalpy at 0 K: -0.7556 eV per atom
- Uncorrected energy: -50.3 eV for the cell shown
- DOS(E_F): 0.71 states/eV/atom



(8)
This record from the Alexandria database describes a relaxed Y3Ag2Pd crystal. The functional is PBE-GGA.

abc: 5.088 5.088 6.247
angles: 90.00 90.00 120.00
Fractional positions:
1 Y 0.000 0.000 0.500
2 Y 0.667 0.333 0.845
3 Y 0.333 0.667 0.155
4 Ag 0.667 0.333 0.346
5 Ag 0.333 0.667 0.654
6 Pd 0.000 0.000 0.000

Values from the calculation:
- Formation enthalpy at 0 K: -0.5066 eV per atom
- Distance to the lowest polymorph of the same formula: 3 kJ/mol of formula units
- Uncorrected energy: -33.3 eV for the cell shown
- DOS(E_F): 0.66 states/eV/atom



(9)
This record from the Alexandria database describes a relaxed Y2Ag4Pd3 crystal. The functional is PBE-GGA.

abc: 4.240 5.386 8.519
angles: 76.12 75.59 66.82
Fractional positions:
1 Y 0.330 0.106 0.235
2 Y 0.670 0.894 0.765
3 Ag 0.667 0.555 0.111
4 Ag 0.004 0.332 0.661
5 Ag 0.996 0.668 0.339
6 Ag 0.333 0.445 0.889
7 Pd 0.341 0.763 0.555
8 Pd 0.000 0.000 0.000
9 Pd 0.659 0.237 0.445

Values from the calculation:
- Formation enthalpy at 0 K: -0.4629 eV per atom
- Uncorrected energy: -44.1 eV for the cell shown
- DOS(E_F): 0.47 states/eV/atom



(10)
This record from the Alexandria database describes a relaxed Y5AgPd crystal. The functional is PBE-GGA.

abc: 5.846 5.846 12.169
angles: 79.28 79.28 76.34
Fractional positions:
1 Y 0.909 0.576 0.127
2 Y 0.214 0.526 0.577
3 Y 0.576 0.909 0.627
4 Y 0.012 0.988 0.250
5 Y 0.474 0.786 0.923
6 Y 0.526 0.214 0.077
7 Y 0.988 0.012 0.750
8 Y 0.424 0.091 0.373
9 Y 0.786 0.474 0.423
10 Y 0.091 0.424 0.873
11 Ag 0.417 0.583 0.250
12 Ag 0.583 0.417 0.750
13 Pd 0.000 0.000 0.000
14 Pd 0.000 0.000 0.500

Values from the calculation:
- Formation enthalpy at 0 K: -0.1936 eV per atom
- Uncorrected energy: -83.4 eV for the cell shown
- DOS(E_F): 1.15 states/eV/atom



(11)
This record from the Alexandria database describes a relaxed Y4AgPd crystal. The functional is PBE-GGA.

abc: 9.624 9.624 9.624
angles: 60.00 60.00 60.00
Fractional positions:
1 Y 0.391 0.391 0.391
2 Y 0.826 0.391 0.391
3 Y 0.391 0.826 0.391
4 Y 0.391 0.391 0.826
5 Y 0.562 0.562 0.938
6 Y 0.938 0.938 0.562
7 Y 0.562 0.938 0.562
8 Y 0.938 0.562 0.938
9 Y 0.938 0.562 0.562
10 Y 0.562 0.938 0.938
11 Y 0.184 0.184 0.816
12 Y 0.816 0.816 0.184
13 Y 0.184 0.816 0.184
14 Y 0.816 0.184 0.816
15 Y 0.816 0.184 0.184
16 Y 0.184 0.816 0.816
17 Ag 0.166 0.166 0.166
18 Ag 0.501 0.166 0.166
19 Ag 0.166 0.501 0.166
20 Ag 0.166 0.166 0.501
21 Pd 0.604 0.604 0.604
22 Pd 0.189 0.604 0.604
23 Pd 0.604 0.189 0.604
24 Pd 0.604 0.604 0.189

Values from the calculation:
- Formation enthalpy at 0 K: -0.4334 eV per atom
- Distance to the lowest polymorph of the same formula: 0 kJ/mol of formula units
- Uncorrected energy: -146.0 eV for the cell shown
- DOS(E_F): 1.00 states/eV/atom



(12)
This record from the Alexandria database describes a relaxed YAg2Pd crystal. The functional is PBE-GGA.

abc: 4.828 4.828 4.828
angles: 60.00 60.00 60.00
Fractional positions:
1 Y 0.000 0.000 0.000
2 Pd 0.500 0.500 0.500
3 Ag 0.250 0.250 0.250
4 Ag 0.750 0.750 0.750

Values from the calculation:
- Formation enthalpy at 0 K: -0.3305 eV per atom
- Distance to the lowest polymorph of the same formula: 53 kJ/mol of formula units
- Uncorrected energy: -18.7 eV for the cell shown
- DOS(E_F): 0.50 states/eV/atom



- Number 4 is which compound?
  Y12AgPd6



What did the third record say?
This record from the Alexandria database describes a relaxed Y3AgPd12 crystal. The functional is PBE-GGA.

abc: 4.105 4.105 16.401
angles: 90.00 90.00 90.00
Fractional positions:
1 Y 0.000 0.000 0.245
2 Y 0.000 0.000 0.500
3 Y 0.000 0.000 0.755
4 Ag 0.000 0.000 0.000
5 Pd 0.500 0.500 0.000
6 Pd 0.500 0.500 0.246
7 Pd 0.500 0.500 0.500
8 Pd 0.500 0.500 0.754
9 Pd 0.500 0.000 0.120
10 Pd 0.500 0.000 0.373
11 Pd 0.500 0.000 0.627
12 Pd 0.500 0.000 0.880
13 Pd 0.000 0.500 0.120
14 Pd 0.000 0.500 0.373
15 Pd 0.000 0.500 0.627
16 Pd 0.000 0.500 0.880

Values from the calculation:
- Formation enthalpy at 0 K: -0.6262 eV per atom
- Uncorrected energy: -94.6 eV for the cell shown
- DOS(E_F): 0.92 states/eV/atom



- Look up the DOS(E_F) of the twelfth one.
  0.50 states/eV/atom